[1]
The following is a DFT calculation (meta-GGA SCAN) of a PBEsol-optimized structure of SrCdNi2.

The density of states at the Fermi level comes out at 3.548 states/eV per cell. Its magnetic moment is 0.01 μB per formula unit. The calculation puts the formation energy at 0.86 eV per formula unit.

The space group is P4mm (No. 99) and the conventional cell measures 3.1866, 3.1866 and 7.2407 Å, with angles of 90.00, 90.00 and 90.00 degrees. The inequivalent atoms are Sr at (0.0000, 0.0000, 0.0000), Cd at (0.5000, 0.5000, 0.3556), Ni at (0.0000, 0.0000, 0.5970) and Ni at (0.5000, 0.5000, 0.7096).

=====

[2]
The following is a DFT calculation (meta-GGA SCAN) of a PBEsol-optimized structure of La2CoSb.

The density of states at the Fermi level comes out at 13.357 states/eV per cell. Its magnetic moment is 0.00 μB per formula unit. For the raw formation energy, the calculation gives -0.323 eV per atom.

The space group is I-42d (No. 122) and the conventional cell measures 8.0391, 8.0391 and 6.1416 Å, with angles of 90.00, 90.00 and 90.00 degrees. The inequivalent atoms are La at (0.1789, 0.2500, 0.1250), Co at (0.0000, 0.0000, 0.0000) and Sb at (0.0000, 0.0000, 0.5000).

=====

[3]
The following is a DFT calculation (meta-GGA SCAN) of a PBEsol-optimized structure of LaTcW.

The density of states at the Fermi level comes out at 11.940 states/eV per cell. Its magnetic moment is 0.00 μB per formula unit. The calculation puts the formation energy at 2.56 eV per formula unit.

The space group is F-43m (No. 216) and the conventional cell measures 6.3828, 6.3828 and 6.3828 Å, with angles of 90.00, 90.00 and 90.00 degrees. The inequivalent atoms are La at (0.0000, 0.0000, 0.0000), Tc at (0.2500, 0.2500, 0.7500) and W at (0.0000, 0.0000, 0.5000).